# CrMo, optimized geometry, DFT PBE-GGA
# Magnetic moment   0.00 Bohr magnetons per cell
# Calculated formation energy   0.7694 eV/atom
# Density   8.29 g cm⁻³
data_CrMo
_chemical_formula_sum 'Cr2 Mo2'
_cell_length_a 2.8239
_cell_length_b 2.8239
_cell_length_c 8.5850
_cell_angle_alpha 90.00
_cell_angle_beta 90.00
_cell_angle_gamma 120.00
_symmetry_space_group_name_H-M 'P 63 m c'
_symmetry_Int_Tables_number 186
_symmetry_space_group_name_Hall 'P 6c -2c'
loop_
_atom_site_label
_atom_site_type_symbol
_atom_site_fract_x
_atom_site_fract_y
_atom_site_fract_z
Cr1 Cr 0.3333 0.6667 0.0000
Mo1 Mo 0.3333 0.6667 0.2778


# CrMo8, optimized geometry, DFT PBE-GGA
# Magnetic moment   0.00 Bohr magnetons per cell
# Calculated formation energy   0.0121 eV/atom
# Density   9.80 g cm⁻³
data_CrMo8
_chemical_formula_sum 'Cr2 Mo16'
_cell_length_a 9.397
_cell_length_b 9.397
_cell_length_c 3.146
_cell_angle_alpha 90.00
_cell_angle_beta 90.00
_cell_angle_gamma 90.00
_symmetry_space_group_name_H-M 'I 4/m m m'
_symmetry_Int_Tables_number 139
_symmetry_space_group_name_Hall '-I 4 2'
loop_
_atom_site_label
_atom_site_type_symbol
_atom_site_fract_x
_atom_site_fract_y
_atom_site_fract_z
Cr1 Cr 0.000 0.000 0.000
Mo1 Mo 0.000 0.331 0.000
Mo2 Mo 0.164 0.164 0.500


# Cr3Mo, optimized geometry, DFT PBE-GGA
# Magnetic moment   0.00 Bohr magnetons per cell
# Calculated formation energy   0.0802 eV/atom
# Density   8.18 g cm⁻³
data_Cr3Mo
_chemical_formula_sum 'Cr9 Mo3'
_cell_length_a 8.2835
_cell_length_b 8.2835
_cell_length_c 2.5817
_cell_angle_alpha 90.00
_cell_angle_beta 90.00
_cell_angle_gamma 120.00
_symmetry_space_group_name_H-M 'R -3 m'
_symmetry_Int_Tables_number 166
_symmetry_space_group_name_Hall '-R 3 2"'
loop_
_atom_site_label
_atom_site_type_symbol
_atom_site_fract_x
_atom_site_fract_y
_atom_site_fract_z
Cr1 Cr 0.0000 0.5000 0.0000
Mo1 Mo 0.0000 0.0000 0.0000


# Cr3Mo, optimized geometry, DFT PBE-GGA
# Magnetic moment   0.00 Bohr magnetons per cell
# Calculated formation energy   0.0745 eV/atom
# Density   8.18 g cm⁻³
data_Cr3Mo
_chemical_formula_sum 'Cr6 Mo2'
_cell_length_a 2.962
_cell_length_b 4.209
_cell_length_c 8.205
_cell_angle_alpha 90.00
_cell_angle_beta 90.00
_cell_angle_gamma 90.00
_symmetry_space_group_name_H-M 'C m m m'
_symmetry_Int_Tables_number 65
_symmetry_space_group_name_Hall '-C 2 2'
loop_
_atom_site_label
_atom_site_type_symbol
_atom_site_fract_x
_atom_site_fract_y
_atom_site_fract_z
Cr1 Cr 0.000 0.000 0.000
Cr2 Cr 0.000 0.500 0.236
Mo1 Mo 0.000 0.000 0.500


The density of states at the Fermi level results, record by record, are as follows: 5.33, 9.11, 10.10, 5.49 states/eV/cell.
The calculated volume results, record by record, are as follows: 14.82, 15.43, 12.78, 12.79 Å³ per atom.
The DFT total energy results, record by record, are as follows: -9.458, -10.685, -9.845, -9.851 eV/atom.